[1]
CeZnAg4 GGA-PBE optimized geometry; DFT formation energy = -0.069 eV per atom; symmetry = No. 216
1.0
5.579 0.000 0.000
2.789 4.832 0.000
2.789 1.611 4.555
Zn Ag Ce
1 4 1
direct
0.000 0.000 0.000 Zn
0.626 0.626 0.123 Ag
0.626 0.123 0.626 Ag
0.626 0.626 0.626 Ag
0.123 0.626 0.626 Ag
0.250 0.250 0.250 Ce


[2]
Ce3Zn6Ag5 GGA-PBE optimized geometry; DFT formation energy = -0.189 eV per atom; symmetry = No. 71
1.0
-2.011 -3.582 1.964
0.695 -6.328 -5.549
6.243 -5.367 1.884
Ce Zn Ag
3 6 5
direct
0.000 0.000 0.000 Ce
0.707 0.293 0.293 Ce
0.293 0.707 0.707 Ce
0.500 0.676 0.324 Zn
0.500 0.324 0.676 Zn
0.864 0.428 0.845 Zn
0.136 0.572 0.155 Zn
0.864 0.845 0.428 Zn
0.136 0.155 0.572 Zn
0.659 0.693 0.990 Ag
0.341 0.307 0.010 Ag
0.659 0.990 0.693 Ag
0.341 0.010 0.307 Ag
0.000 0.500 0.500 Ag


[3]
Ce2Zn5Ag5 GGA-PBE optimized geometry; DFT formation energy = -0.177 eV per atom; symmetry = No. 47
1.0
4.545 0.000 0.000
0.000 5.414 0.000
0.000 0.000 9.618
Ce Zn Ag
2 5 5
direct
0.000 0.500 0.000 Ce
0.000 0.000 0.500 Ce
0.500 0.500 0.500 Zn
0.500 0.750 0.254 Zn
0.500 0.250 0.746 Zn
0.500 0.250 0.254 Zn
0.500 0.750 0.746 Zn
0.000 0.500 0.333 Ag
0.000 0.000 0.824 Ag
0.000 0.000 0.176 Ag
0.000 0.500 0.667 Ag
0.500 0.000 0.000 Ag


[4]
Ce2ZnAg2 GGA-PBE optimized geometry; DFT formation energy = -0.143 eV per atom; symmetry = No. 12
1.0
-3.155 2.968 1.348
1.547 -3.728 4.197
6.809 7.196 0.094
Ce Zn Ag
4 2 4
direct
0.908 0.817 0.617 Ce
0.187 0.374 0.048 Ce
0.092 0.183 0.383 Ce
0.813 0.626 0.952 Ce
0.769 0.539 0.270 Zn
0.231 0.461 0.730 Zn
0.386 0.772 0.378 Ag
0.504 0.009 0.145 Ag
0.614 0.228 0.622 Ag
0.496 0.991 0.855 Ag


Fermi-level density of states, respectively: 1.021 1.663 1.539 2.482 states/eV/atom.